# LaPuIn6 PBE relaxed
# **Total magnetic moment**: 5.66 μB per formula unit
# **E_tot**: -0.1768 hartree per atom
data_LaPuIn6
_cell_length_a 4.720
_cell_length_b 4.720
_cell_length_c 9.452
_cell_angle_alpha 90.00
_cell_angle_beta 90.00
_cell_angle_gamma 90.00
_symmetry_space_group_name_H-M 'P 1'
_symmetry_Int_Tables_number 1
_symmetry_space_group_name_Hall 'P 1'
loop_
_atom_site_label
_atom_site_type_symbol
_atom_site_fract_x
_atom_site_fract_y
_atom_site_fract_z
In1 In 0.500 0.500 0.500
In2 In 0.500 0.000 0.257
In3 In 0.000 0.500 0.743
In4 In 0.500 0.000 0.743
In5 In 0.500 0.500 0.000
In6 In 0.000 0.500 0.257
La1 La 0.000 0.000 0.000
Pu1 Pu 0.000 0.000 0.500

---

# La6PuIn5 PBE relaxed
# **Total magnetic moment**: 8.06 μB per formula unit
# **E_tot**: -0.1906 hartree per atom
data_La6PuIn5
_cell_length_a 5.617
_cell_length_b 7.805
_cell_length_c 9.732
_cell_angle_alpha 113.64
_cell_angle_beta 106.77
_cell_angle_gamma 90.00
_symmetry_space_group_name_H-M 'P 1'
_symmetry_Int_Tables_number 1
_symmetry_space_group_name_Hall 'P 1'
loop_
_atom_site_label
_atom_site_type_symbol
_atom_site_fract_x
_atom_site_fract_y
_atom_site_fract_z
La1 La 0.167 0.917 0.334
La2 La 0.500 0.751 0.000
La3 La 0.167 0.417 0.334
La4 La 0.833 0.083 0.666
La5 La 0.500 0.249 0.000
La6 La 0.833 0.583 0.666
Pu1 Pu 0.000 0.000 0.000
In1 In 0.338 0.838 0.676
In2 In 0.666 0.666 0.332
In3 In 0.334 0.334 0.668
In4 In 0.662 0.162 0.324
In5 In 0.000 0.500 0.000

---

# La2Pu2In3 PBE relaxed
# **Total magnetic moment**: 11.77 μB per formula unit
# **E_tot**: -0.2553 hartree per atom
data_La2Pu2In3
_cell_length_a 4.912
_cell_length_b 3.467
_cell_length_c 11.801
_cell_angle_alpha 90.00
_cell_angle_beta 77.99
_cell_angle_gamma 90.00
_symmetry_space_group_name_H-M 'P 1'
_symmetry_Int_Tables_number 1
_symmetry_space_group_name_Hall 'P 1'
loop_
_atom_site_label
_atom_site_type_symbol
_atom_site_fract_x
_atom_site_fract_y
_atom_site_fract_z
Pu1 Pu 0.715 0.500 0.570
Pu2 Pu 0.285 0.500 0.430
La1 La 0.423 0.500 0.154
La2 La 0.577 0.500 0.846
In1 In 0.155 0.000 0.690
In2 In 0.845 0.000 0.310
In3 In 0.000 0.000 0.000